Density functional theory data (PBE) for crystalline Tm3Th2 at its relaxed geometry.

Geometry as POSCAR:
```
Tm3Th2
1.0
4.886 -1.028 4.997
-2.992 8.776 7.131
0.664 2.943 12.343
Tm Th
6 4
Direct
0.444 0.200 0.901 Tm
0.556 0.800 0.099 Tm
0.146 0.399 0.302 Tm
0.346 0.600 0.699 Tm
0.654 0.400 0.301 Tm
0.854 0.601 0.698 Tm
0.750 0.001 0.500 Th
0.250 0.999 0.500 Th
0.048 0.801 0.098 Th
0.952 0.199 0.902 Th
```

Output
* energy: -5.615 eV/atom
* ρ: 10.38 g/cm³
* total magnetic moment: 0.000 μB/f.u.
* DOS(E_F): 14.08 states/eV/cell
* energy of formation from the pure elements: 3.5 kJ/mol of atoms
* symmetry: P-1
* volume: 310.7 Å³/cell